Entry 1:
Material: NiGe2
Method: DFT, PBE
State: optimized geometry

Lattice parameters (Å, degrees): 2.821 3.045 5.559 90.00 90.00 90.00
Atoms (fractional coordinates):
Ni  0.000  0.000  0.000
Ge  0.500  0.500  0.266
Ge  0.500  0.500  0.734

space group = Pmmm, No. 47
ΔH_f (0 K) = -7.5 kJ/mol of atoms
spin magnetization = 0.0 Bohr magnetons per cell


Entry 2:
Material: Ca2AgSe
Method: DFT, PBE
State: optimized geometry

Lattice parameters (Å, degrees): 3.688 3.720 7.205 90.00 90.00 90.00
Atoms (fractional coordinates):
Ca  0.000  0.000  0.242
Ca  0.000  0.000  0.758
Ag  0.500  0.500  0.500
Se  0.500  0.500  0.000

formation energy from raw total energies = -0.995 eV per atom
relative energy among the computed polymorphs = 6 meV/atom
space group = Pmmm, No. 47
spin magnetization = 0.0 Bohr magnetons per cell


Let's list DOS at the Fermi energy in order: 0.78, 1.45 states/eV per cell.